# 1
TiCuCl3: PBEsol geometry, meta-GGA SCAN.

Calculated values
- Magnetic moment: 1.814 Bohr magnetons per cell
- Formation energy from raw total energies: -0.72 eV per atom
- E: -11.749 eV per atom

a = 4.754 Å, b = 4.754 Å, c = 4.754 Å
α = 90.00°, β = 90.00°, γ = 90.00°
Atoms (fractional coordinates):
Ti  0.000  0.000  0.000
Cu  0.500  0.500  0.500
Cl  0.000  0.000  0.500
Cl  0.000  0.500  0.000
Cl  0.500  0.000  0.000

***

# 2
Y5Co: PBEsol geometry, meta-GGA SCAN.

Calculated values
- Magnetic moment: 2.564 Bohr magnetons per cell
- Energy relative to the lowest polymorph listed for this composition: 0.715 eV/atom
- E: -25.394 eV per atom

a = 6.215 Å, b = 6.215 Å, c = 6.215 Å
α = 60.00°, β = 60.00°, γ = 60.00°
Atoms (fractional coordinates):
Y  0.000  0.000  0.000
Y  0.126  0.625  0.625
Y  0.625  0.126  0.625
Y  0.625  0.625  0.126
Y  0.625  0.625  0.625
Co  0.250  0.250  0.250

***

# 3
KTa2Hg: PBEsol geometry, meta-GGA SCAN.

Calculated values
- Magnetic moment: 0.000 Bohr magnetons per cell
- E: -51.409 eV per atom

a = 2.819 Å, b = 5.659 Å, c = 5.411 Å
α = 90.00°, β = 94.48°, γ = 90.00°
Atoms (fractional coordinates):
K  0.000  0.000  0.000
Ta  0.289  0.500  0.729
Ta  0.711  0.500  0.271
Hg  0.500  0.000  0.500

***

# 4
TaMnOs: PBEsol geometry, meta-GGA SCAN.

Calculated values
- Magnetic moment: 0.000 Bohr magnetons per cell
- E: -51.913 eV per atom

a = 4.056 Å, b = 4.056 Å, c = 4.056 Å
α = 60.00°, β = 60.00°, γ = 60.00°
Atoms (fractional coordinates):
Ta  0.000  0.000  0.000
Mn  0.250  0.250  0.250
Os  0.500  0.500  0.500

***

# 5
AlGe3Te: PBEsol geometry, meta-GGA SCAN.

Calculated values
- Magnetic moment: 0.000 Bohr magnetons per cell
- Formation energy from raw total energies: 1.19 eV per atom
- E: -19.260 eV per atom

a = 5.341 Å, b = 5.341 Å, c = 5.341 Å
α = 90.00°, β = 90.00°, γ = 90.00°
Atoms (fractional coordinates):
Al  0.000  0.000  0.000
Ge  0.000  0.500  0.500
Ge  0.500  0.000  0.500
Ge  0.500  0.500  0.000
Te  0.500  0.500  0.500

***

# 6
TaP2RhS: PBEsol geometry, meta-GGA SCAN.

Calculated values
- Magnetic moment: 0.982 Bohr magnetons per cell
- Formation energy from raw total energies: 0.90 eV per atom
- E: -25.260 eV per atom

a = 4.416 Å, b = 4.416 Å, c = 4.548 Å
α = 90.00°, β = 90.00°, γ = 90.00°
Atoms (fractional coordinates):
Ta  0.000  0.000  0.000
P  0.000  0.500  0.500
P  0.500  0.000  0.500
Rh  0.500  0.500  0.500
S  0.500  0.500  0.000

***

# 7
Ta3Os5: PBEsol geometry, meta-GGA SCAN.

Calculated values
- Magnetic moment: 0.000 Bohr magnetons per cell
- E: -70.219 eV per atom

a = 5.465 Å, b = 5.465 Å, c = 4.137 Å
α = 90.00°, β = 90.00°, γ = 97.39°
Atoms (fractional coordinates):
Ta  0.000  0.000  0.000
Ta  0.283  0.717  0.500
Ta  0.717  0.283  0.500
Os  0.000  0.500  0.000
Os  0.223  0.223  0.500
Os  0.500  0.000  0.000
Os  0.500  0.500  0.000
Os  0.777  0.777  0.500

***

# 8
SrReF3: PBEsol geometry, meta-GGA SCAN.

Calculated values
- Magnetic moment: 6.000 Bohr magnetons per cell
- Formation energy from raw total energies: -1.51 eV per atom
- E: -22.304 eV per atom

a = 4.672 Å, b = 4.672 Å, c = 4.672 Å
α = 90.00°, β = 90.00°, γ = 90.00°
Atoms (fractional coordinates):
Sr  0.000  0.000  0.000
Re  0.500  0.500  0.500
F  0.000  0.000  0.500
F  0.000  0.500  0.000
F  0.500  0.000  0.000

***

- Number 2 is which compound?
  Y5Co

***

- What is the E in the fifth record?
  -19.260 eV per atom

***

- Number 3 is which compound?
  KTa2Hg